Material: Rb4FeSbCl12
Method: DFT, meta-GGA SCAN
State: single point on PBEsol structure

Calculated values
* energy relative to the elements, uncorrected: -26.485 eV/f.u.
* calculated total energy: -14.48 eV per atom

abc: 6.970 6.970 10.043
angles: 90.00 90.00 90.00
Sites, in units of the cell vectors:
Rb: 0.000 0.500 0.233
Rb: 0.000 0.500 0.767
Rb: 0.500 0.000 0.233
Rb: 0.500 0.000 0.767
Fe: 0.000 0.000 0.000
Sb: 0.500 0.500 0.500
Cl: 0.000 0.000 0.223
Cl: 0.000 0.000 0.777
Cl: 0.228 0.228 0.000
Cl: 0.228 0.772 0.000
Cl: 0.250 0.250 0.500
Cl: 0.250 0.750 0.500
Cl: 0.500 0.500 0.253
Cl: 0.500 0.500 0.747
Cl: 0.750 0.250 0.500
Cl: 0.750 0.750 0.500
Cl: 0.772 0.228 0.000
Cl: 0.772 0.772 0.000